VASP calculation (GGA+U) on a relaxed structure of Mg2Mn3O8.

The structure belongs to space group P6_3mc (No. 186); the cell edges are 5.8583, 5.8583 and 9.3487 Å and the angles 90.00°, 90.00° and 120.00°. Symmetry generates all atoms from Mg at (0.3333, 0.6667, 0.0000), Mg at (0.3333, 0.6667, 0.3914), Mn at (0.1643, 0.3285, 0.7196), O at (0.0000, 0.0000, 0.3257), O at (0.0373, 0.5187, 0.8385), O at (0.1596, 0.3193, 0.1178) and O at (0.3333, 0.6667, 0.6099).

Its offset from the most stable computed form is 13 meV/atom. The value obtained for the total energy is -6.820 eV per atom. The volume comes out at 10.69 A^3/atom.